The following is a DFT calculation (PBE) of a relaxed Pr2ThBi crystal.

Summary:
**E_tot**: -22.32 eV/cell
**Density of states at the Fermi level**: 3.84 states/eV per cell
**Energy above the lowest structure with this stoichiometry**: 0 meV per atom

abc: 4.0890 4.0890 7.7558
angles: 90.00 90.00 90.00
With the nearest neighbours (Å) after each atom.
Atoms (fractional coordinates):
Pr (0.0000, 0.0000, 0.2250)  4 Bi 3.38, 1 Pr 3.49, 4 Th 3.59
Pr (0.0000, 0.0000, 0.7750)  4 Bi 3.38, 1 Pr 3.49, 4 Th 3.59
Th (0.5000, 0.5000, 0.5000)  8 Pr 3.59, 2 Bi 3.88
Bi (0.5000, 0.5000, 0.0000)  8 Pr 3.38